The following is a DFT calculation (PBEsol) of CaZnSe2 after structural relaxation.

Final energy (eV/atom): -4.02
DOS(E_F) (states/eV/f.u.): 0.00

Structure (CIF):
```
data_CaZnSe2
_cell_length_a 6.8146
_cell_length_b 6.8146
_cell_length_c 6.8146
_cell_angle_alpha 33.70
_cell_angle_beta 33.70
_cell_angle_gamma 33.70
_space_group_name_H-M_alt 'P 1'
_space_group_IT_number 1
loop_
_space_group_symop_operation_xyz
'x,y,z'
loop_
_atom_site_label
_atom_site_type_symbol
_atom_site_fract_x
_atom_site_fract_y
_atom_site_fract_z
Ca1 Ca 0.0000 0.0000 0.0000
Zn1 Zn 0.5000 0.5000 0.5000
Se1 Se 0.2400 0.2400 0.2400
Se2 Se 0.7600 0.7600 0.7600
```



The following is a DFT calculation (PBEsol) of KInAu2 after structural relaxation.

ΔE_f (eV/atom): -0.236
DOS(E_F) (states/eV/f.u.): 1.46

Structure (CIF):
```
data_KInAu2
_cell_length_a 6.4006
_cell_length_b 6.4006
_cell_length_c 6.4006
_cell_angle_alpha 43.63
_cell_angle_beta 43.63
_cell_angle_gamma 43.63
_space_group_name_H-M_alt 'P 1'
_space_group_IT_number 1
loop_
_space_group_symop_operation_xyz
'x,y,z'
loop_
_atom_site_label
_atom_site_type_symbol
_atom_site_fract_x
_atom_site_fract_y
_atom_site_fract_z
K1 K 0.0000 0.0000 0.0000
In1 In 0.5000 0.5000 0.5000
Au1 Au 0.1850 0.1850 0.1850
Au2 Au 0.8150 0.8150 0.8150
```



| no. | spin magnetization (μB/atom) |
| --- | --- |
| 1 | 0.00 |
| 2 | 0.00 |